Record 1
The following is a PBE calculation of an optimized crystal structure of BaLa3Ir, from Alexandria.

abc: 5.4694 5.4694 15.3002
angles: 79.70 79.70 90.00
Closest atoms and distances in Å follow each position.
Fractional coordinates of all 10 atoms:
La (0.1269, 0.3720, 0.7462)  2 La 2.68-2.79
La (0.4311, 0.4311, 0.1377)  2 Ir 2.81
La (0.1182, 0.8731, 0.2538)  2 La 2.68-2.79
La (0.5689, 0.5689, 0.8623)  2 Ir 2.81
La (0.6280, 0.8731, 0.2538)  2 La 2.68-2.79
La (0.1269, 0.8818, 0.7462)  2 La 2.68-2.79
Ir (0.5901, 0.0901, 0.8198)  2 La 2.81
Ir (0.9099, 0.4099, 0.1802)  2 La 2.81
Ba (0.2500, 0.7500, 0.5000)  4 La 3.90
Ba (0.0000, 0.0000, 0.0000)  4 Ir 3.82, 4 La 3.99

Computed properties:
Energy above the lowest structure with this stoichiometry, eV per formula unit: 3.417
M_tot, μB/f.u.: 0.00
Space-group type: I-4m2

---

Record 2
The following is a PBE calculation of an optimized crystal structure of Ba2PrSnTe5, from Alexandria.

abc: 4.8129 10.4740 14.1564
angles: 90.00 90.00 103.28
Closest atoms and distances in Å follow each position.
Fractional coordinates of all 18 atoms:
Ba (0.1150, 0.2301, 0.6831)  8 Te 3.53-3.79
Ba (0.1308, 0.2615, 0.3146)  8 Te 3.57-3.88
Ba (0.8692, 0.7385, 0.8146)  8 Te 3.57-3.88
Ba (0.8850, 0.7699, 0.1831)  8 Te 3.53-3.79
Te (0.3171, 0.6341, 0.3651)  1 Sn 2.99, 2 Pr 3.30
Te (0.7120, 0.4240, 0.1670)  2 Pr 3.19, 1 Ba 3.53
Te (0.6829, 0.3659, 0.8651)  1 Sn 2.99, 2 Pr 3.30
Te (0.3637, 0.7274, 0.0006)  1 Pr 3.12
Te (0.9501, 0.9002, 0.5664)  2 Sn 2.93
Te (0.0499, 0.0998, 0.0664)  2 Sn 2.93
Te (0.4935, 0.9869, 0.7602)  1 Sn 2.88
Te (0.6363, 0.2726, 0.5006)  1 Pr 3.12
Te (0.5065, 0.0131, 0.2602)  1 Sn 2.88
Te (0.2880, 0.5760, 0.6670)  2 Pr 3.19, 1 Ba 3.53
Sn (0.4520, 0.9040, 0.4478)  4 Te 2.88-2.99
Sn (0.5480, 0.0960, 0.9478)  4 Te 2.88-2.99
Pr (0.7886, 0.5773, 0.5192)  6 Te 3.12-3.36
Pr (0.2114, 0.4227, 0.0192)  6 Te 3.12-3.36

Computed properties:
M_tot, μB/f.u.: 0.00
Final energy, eV/atom: -4.39
Space-group type: Cmc2_1

---

Record 3
The following is a PBE calculation of an optimized crystal structure of Mg2NbNi2, from Alexandria.

abc: 7.4331 7.4331 2.7125
angles: 90.00 90.00 90.00
Closest atoms and distances in Å follow each position.
Fractional coordinates of all 10 atoms:
Ni (0.8264, 0.3264, 0.5000)  6 Mg 2.50-2.64, 2 Ni 2.71
Ni (0.6736, 0.8264, 0.5000)  6 Mg 2.50-2.64, 2 Ni 2.71
Ni (0.1736, 0.6736, 0.5000)  6 Mg 2.50-2.64, 2 Ni 2.71
Ni (0.3264, 0.1736, 0.5000)  6 Mg 2.50-2.64, 2 Ni 2.71
Mg (0.1271, 0.3729, 0.0000)  6 Ni 2.50-2.64, 3 Mg 2.67-2.71
Mg (0.6271, 0.1271, 0.0000)  6 Ni 2.50-2.64, 3 Mg 2.67-2.71
Mg (0.8729, 0.6271, 0.0000)  6 Ni 2.50-2.64, 3 Mg 2.67-2.71
Mg (0.3729, 0.8729, 0.0000)  6 Ni 2.50-2.64, 3 Mg 2.67-2.71
Nb (0.0000, 0.0000, 0.0000)  2 Nb 2.71, 4 Mg 2.93
Nb (0.5000, 0.5000, 0.0000)  2 Nb 2.71, 4 Mg 2.93

Computed properties:
Energy above the lowest structure with this stoichiometry, eV per formula unit: 0.532
M_tot, μB/f.u.: 0.00
Space-group type: P4/mbm

---

- Number 3 is which compound?
  Mg2NbNi2